(1)
Density functional theory data (PBE) for a geometry-optimized Tm3Al4 structure.

a b c (Å): 10.166 10.166 10.166
angles (deg): 160.22 154.40 32.56
Fractional coordinates of all 7 atoms:
Tm1 0.000 0.000 0.000
Tm2 0.303 0.803 0.500
Tm3 0.697 0.197 0.500
Al1 0.140 0.640 0.500
Al2 0.433 0.433 0.000
Al3 0.567 0.567 0.000
Al4 0.860 0.360 0.500

Summary:
Mass density: 6.65 g/cm³
Relative energy among the computed polymorphs: 0.000 eV per atom
Magnetization: 0.000 μB per atom
Crystal system: orthorhombic

---

(2)
Density functional theory data (PBE) for a geometry-optimized Tm3Al structure.

a b c (Å): 5.842 5.842 5.842
angles (deg): 133.44 133.44 67.96
Fractional coordinates of all 4 atoms:
Tm1 0.000 0.000 0.000
Tm2 0.250 0.750 0.500
Tm3 0.750 0.250 0.500
Al1 0.500 0.500 0.000

Summary:
Mass density: 8.58 g/cm³
Magnetization: 0.000 μB per atom
Crystal system: tetragonal
Calculated total energy: -0.32624 Ry per atom

---

(3)
Density functional theory data (PBE) for a geometry-optimized Tm3Al structure.

a b c (Å): 3.315 3.329 10.171
angles (deg): 90.00 90.00 90.00
Fractional coordinates of all 4 atoms:
Tm1 0.000 0.000 0.000
Tm2 0.000 0.500 0.447
Tm3 0.500 0.500 0.751
Al1 0.500 0.000 0.252

Summary:
Mass density: 7.90 g/cm³
Magnetization: 0.000 μB per atom
Crystal system: orthorhombic
Calculated total energy: -0.30849 Ry per atom

---

(4)
Density functional theory data (PBE) for a geometry-optimized Tm3Al2 structure.

a b c (Å): 8.112 8.112 7.507
angles (deg): 90.00 90.00 90.00
Fractional coordinates of all 20 atoms:
Tm1 0.000 0.500 0.250
Tm2 0.000 0.500 0.750
Tm3 0.150 0.150 0.000
Tm4 0.202 0.202 0.500
Tm5 0.298 0.702 0.000
Tm6 0.350 0.650 0.500
Tm7 0.500 0.000 0.250
Tm8 0.500 0.000 0.750
Tm9 0.650 0.350 0.500
Tm10 0.702 0.298 0.000
Tm11 0.798 0.798 0.500
Tm12 0.850 0.850 0.000
Al1 0.119 0.881 0.304
Al2 0.119 0.881 0.696
Al3 0.381 0.381 0.196
Al4 0.381 0.381 0.804
Al5 0.619 0.619 0.196
Al6 0.619 0.619 0.804
Al7 0.881 0.119 0.304
Al8 0.881 0.119 0.696

Summary:
Mass density: 7.54 g/cm³
Magnetization: 0.000 μB per atom
Crystal system: tetragonal
Calculated total energy: -0.33151 Ry per atom

---

(5)
Density functional theory data (PBE) for a geometry-optimized TmAl5 structure.

a b c (Å): 5.473 5.473 4.382
angles (deg): 90.00 90.00 120.00
Fractional coordinates of all 6 atoms:
Tm1 0.000 0.000 0.000
Al1 0.000 0.502 0.500
Al2 0.333 0.667 0.000
Al3 0.498 0.498 0.500
Al4 0.502 0.000 0.500
Al5 0.667 0.333 0.000

Summary:
Mass density: 4.44 g/cm³
Magnetization: 0.000 μB per atom
Crystal system: hexagonal
Calculated total energy: -0.29480 Ry per atom

---

(6)
Density functional theory data (PBE) for a geometry-optimized Tm4Al3 structure.

a b c (Å): 8.613 8.613 8.613
angles (deg): 33.67 33.67 33.67
Fractional coordinates of all 7 atoms:
Tm1 0.120 0.120 0.120
Tm2 0.372 0.372 0.372
Tm3 0.628 0.628 0.628
Tm4 0.880 0.880 0.880
Al1 0.248 0.248 0.248
Al2 0.500 0.500 0.500
Al3 0.752 0.752 0.752

Summary:
Mass density: 7.18 g/cm³
Magnetization: 0.000 μB per atom
Crystal system: trigonal
Calculated total energy: -0.32307 Ry per atom